No. 1
Entry from Alexandria: an optimized crystal structure of AcLu2Bi (PBE).

Cell and atoms, written as POSCAR:
```
AcLu2Bi
1.0
3.9908 0.0000 0.0000
0.0000 3.9908 0.0000
0.0000 0.0000 8.0540
Ac Lu Bi
1 2 1
Direct
0.0000 0.0000 0.0000 Ac
0.5000 0.5000 0.2928 Lu
0.5000 0.5000 0.7072 Lu
0.0000 0.0000 0.5000 Bi
```

## Properties
- Relative energy among the computed polymorphs: 0 meV per atom
- Crystal system: tetragonal
- ΔE_f: -25.5 kJ/mol of atoms
- Space-group type: P4/mmm, No. 123
- Calculated volume: 32.1 Å³ per atom
- Calculated total energy: -4.522 eV/atom

***

No. 2
Entry from Alexandria: an optimized crystal structure of AcLuMgBi (PBE).

Cell and atoms, written as POSCAR:
```
AcLuMgBi
1.0
0.0000 3.9853 3.9853
3.9853 0.0000 3.9853
3.9853 3.9853 0.0000
Ac Lu Mg Bi
1 1 1 1
Direct
0.0000 0.0000 0.0000 Ac
0.5000 0.5000 0.5000 Lu
0.7500 0.7500 0.7500 Mg
0.2500 0.2500 0.2500 Bi
```

## Properties
- Crystal system: cubic
- ΔE_f: -24.8 kJ/mol of atoms
- Space-group type: F-43m, No. 216
- Calculated volume: 31.6 Å³ per atom
- Calculated total energy: -3.783 eV/atom

***

No. 3
Entry from Alexandria: an optimized crystal structure of AcPmLuBi (PBE).

Cell and atoms, written as POSCAR:
```
AcPmLuBi
1.0
0.0000 3.9948 3.9948
3.9948 0.0000 3.9948
3.9948 3.9948 0.0000
Ac Pm Lu Bi
1 1 1 1
Direct
0.0000 0.0000 0.0000 Ac
0.2500 0.2500 0.2500 Pm
0.7500 0.7500 0.7500 Lu
0.5000 0.5000 0.5000 Bi
```

## Properties
- Crystal system: cubic
- ΔE_f: -12.5 kJ/mol of atoms
- Space-group type: F-43m, No. 216
- Calculated volume: 31.9 Å³ per atom
- Calculated total energy: -4.445 eV/atom

***

No. 4
Entry from Alexandria: an optimized crystal structure of AcLuSnBi (PBE).

Cell and atoms, written as POSCAR:
```
AcLuSnBi
1.0
0.0000 3.9812 3.9812
3.9812 0.0000 3.9812
3.9812 3.9812 0.0000
Ac Lu Sn Bi
1 1 1 1
Direct
0.0000 0.0000 0.0000 Ac
0.5000 0.5000 0.5000 Lu
0.2500 0.2500 0.2500 Sn
0.7500 0.7500 0.7500 Bi
```

## Properties
- Crystal system: cubic
- ΔE_f: -48.3 kJ/mol of atoms
- Space-group type: F-43m, No. 216
- Calculated volume: 31.6 Å³ per atom
- Calculated total energy: -4.629 eV/atom

***

No. 5
Entry from Alexandria: an optimized crystal structure of AcLuTlBi (PBE).

Cell and atoms, written as POSCAR:
```
AcLuTlBi
1.0
0.0000 3.9951 3.9951
3.9951 0.0000 3.9951
3.9951 3.9951 0.0000
Ac Lu Tl Bi
1 1 1 1
Direct
0.0000 0.0000 0.0000 Ac
0.5000 0.5000 0.5000 Lu
0.7500 0.7500 0.7500 Tl
0.2500 0.2500 0.2500 Bi
```

## Properties
- Crystal system: cubic
- ΔE_f: -35.6 kJ/mol of atoms
- Space-group type: F-43m, No. 216
- Calculated volume: 31.9 Å³ per atom
- Calculated total energy: -4.088 eV/atom

***

No. 6
Entry from Alexandria: an optimized crystal structure of AcMg3Bi3 (PBE).

Cell and atoms, written as POSCAR:
```
AcMg3Bi3
1.0
4.2019 2.4259 7.9200
-4.2019 2.4259 7.9200
0.0000 -4.8519 7.9200
Ac Mg Bi
2 6 6
Direct
0.1665 0.1665 0.1665 Ac
0.8335 0.8335 0.8335 Ac
0.0359 0.3743 0.7157 Mg
0.2843 0.9641 0.6257 Mg
0.3743 0.7157 0.0359 Mg
0.6257 0.2843 0.9641 Mg
0.7157 0.0359 0.3743 Mg
0.9641 0.6257 0.2843 Mg
0.0926 0.7435 0.4189 Bi
0.2565 0.5811 0.9074 Bi
0.4189 0.0926 0.7435 Bi
0.5811 0.9074 0.2565 Bi
0.7435 0.4189 0.0926 Bi
0.9074 0.2565 0.5811 Bi
```

## Properties
- Relative energy among the computed polymorphs: 0 meV per atom
- Crystal system: trigonal
- ΔE_f: -43.9 kJ/mol of atoms
- Space-group type: R-3, No. 148
- Calculated volume: 34.6 Å³ per atom
- Calculated total energy: -3.388 eV/atom

***

No. 7
Entry from Alexandria: an optimized crystal structure of AcMg2Bi2 (PBE).

Cell and atoms, written as POSCAR:
```
AcMg2Bi2
1.0
2.3099 -14.2481 0.0000
2.3099 14.2481 0.0000
0.0000 0.0000 4.6562
Ac Mg Bi
2 4 4
Direct
0.1555 0.8445 0.7500 Ac
0.8445 0.1555 0.2500 Ac
0.0369 0.9631 0.2500 Mg
0.4603 0.5397 0.2500 Mg
0.5397 0.4603 0.7500 Mg
0.9631 0.0369 0.7500 Mg
0.2498 0.7502 0.2500 Bi
0.3865 0.6135 0.7500 Bi
0.6135 0.3865 0.2500 Bi
0.7502 0.2498 0.7500 Bi
```

## Properties
- Crystal system: orthorhombic
- ΔE_f: -45.4 kJ/mol of atoms
- Space-group type: Cmcm, No. 63
- Calculated volume: 30.6 Å³ per atom
- Calculated total energy: -3.483 eV/atom

***

No. 8
Entry from Alexandria: an optimized crystal structure of AcMgBi (PBE).

Cell and atoms, written as POSCAR:
```
AcMgBi
1.0
5.0213 0.0000 0.0000
-2.5107 4.3486 0.0000
0.0000 0.0000 4.4782
Ac Mg Bi
1 1 1
Direct
0.0000 0.0000 0.0000 Ac
0.3333 0.6667 0.5000 Mg
0.6667 0.3333 0.5000 Bi
```

## Properties
- Relative energy among the computed polymorphs: 0 meV per atom
- Crystal system: hexagonal
- ΔE_f: -49.0 kJ/mol of atoms
- Space-group type: P-6m2, No. 187
- Calculated volume: 32.6 Å³ per atom
- Calculated total energy: -3.702 eV/atom

***

No. 9
Entry from Alexandria: an optimized crystal structure of AcMg5Bi4 (PBE).

Cell and atoms, written as POSCAR:
```
AcMg5Bi4
1.0
-2.3381 4.4544 7.9087
2.3381 -4.4544 7.9087
2.3381 4.4544 -7.9087
Ac Mg Bi
1 5 4
Direct
0.0000 0.0000 0.0000 Ac
0.0161 0.3222 0.6939 Mg
0.3716 0.6778 0.6939 Mg
0.5000 0.0000 0.5000 Mg
0.6284 0.3222 0.3061 Mg
0.9839 0.6778 0.3061 Mg
0.2333 0.2333 0.0000 Bi
0.2849 0.5000 0.7849 Bi
0.7151 0.5000 0.2151 Bi
0.7667 0.7667 0.0000 Bi
```

## Properties
- Crystal system: orthorhombic
- ΔE_f: -26.1 kJ/mol of atoms
- Space-group type: Immm, No. 71
- Calculated volume: 32.9 Å³ per atom
- Calculated total energy: -3.031 eV/atom

***

No. 10
Entry from Alexandria: an optimized crystal structure of Ac2MgBi (PBE).

Cell and atoms, written as POSCAR:
```
Ac2MgBi
1.0
2.1925 1.2659 11.6011
-2.1925 1.2659 11.6011
0.0000 -2.5317 11.6011
Ac Mg Bi
2 1 1
Direct
0.1047 0.1047 0.1047 Ac
0.8953 0.8953 0.8953 Ac
0.0000 0.0000 0.0000 Mg
0.5000 0.5000 0.5000 Bi
```

## Properties
- Relative energy among the computed polymorphs: 464 meV per atom
- Crystal system: trigonal
- ΔE_f: 1.8 kJ/mol of atoms
- Space-group type: R-3m, No. 166
- Calculated volume: 48.3 Å³ per atom
- Calculated total energy: -3.404 eV/atom

***

No. 11
Entry from Alexandria: an optimized crystal structure of Ac2MgBi4 (PBE).

Cell and atoms, written as POSCAR:
```
Ac2MgBi4
1.0
4.6812 0.0000 0.0000
0.0000 4.6812 0.0000
0.0000 0.0000 11.3136
Ac Mg Bi
2 1 4
Direct
0.0000 0.5000 0.2428 Ac
0.5000 0.0000 0.7572 Ac
0.0000 0.0000 0.5000 Mg
0.0000 0.0000 0.0000 Bi
0.0000 0.5000 0.6588 Bi
0.5000 0.0000 0.3412 Bi
0.5000 0.5000 0.0000 Bi
```

## Properties
- Crystal system: tetragonal
- ΔE_f: -59.8 kJ/mol of atoms
- Space-group type: P-4m2, No. 115
- Calculated volume: 35.4 Å³ per atom
- Calculated total energy: -4.240 eV/atom

***

No. 12
Entry from Alexandria: an optimized crystal structure of Ac2MgBi (PBE).

Cell and atoms, written as POSCAR:
```
Ac2MgBi
1.0
4.3408 0.0000 0.0000
0.0000 4.3408 0.0000
0.0000 0.0000 7.5944
Ac Mg Bi
2 1 1
Direct
0.0000 0.0000 0.2438 Ac
0.0000 0.0000 0.7562 Ac
0.5000 0.5000 0.5000 Mg
0.5000 0.5000 0.0000 Bi
```

## Properties
- Relative energy among the computed polymorphs: 0 meV per atom
- Crystal system: tetragonal
- ΔE_f: -42.9 kJ/mol of atoms
- Space-group type: P4/mmm, No. 123
- Calculated volume: 35.8 Å³ per atom
- Calculated total energy: -3.868 eV/atom

***

No. 13
Entry from Alexandria: an optimized crystal structure of AcMg3Bi3 (PBE).

Cell and atoms, written as POSCAR:
```
AcMg3Bi3
1.0
7.9917 0.0000 0.0000
0.0000 7.9917 0.0000
0.0000 0.0000 7.9917
Ac Mg Bi
2 6 6
Direct
0.0000 0.0000 0.0000 Ac
0.5000 0.5000 0.5000 Ac
0.0000 0.2500 0.5000 Mg
0.0000 0.7500 0.5000 Mg
0.2500 0.5000 0.0000 Mg
0.5000 0.0000 0.2500 Mg
0.5000 0.0000 0.7500 Mg
0.7500 0.5000 0.0000 Mg
0.0000 0.5000 0.2500 Bi
0.0000 0.5000 0.7500 Bi
0.2500 0.0000 0.5000 Bi
0.5000 0.2500 0.0000 Bi
0.5000 0.7500 0.0000 Bi
0.7500 0.0000 0.5000 Bi
```

## Properties
- Relative energy among the computed polymorphs: 446 meV per atom
- Crystal system: cubic
- ΔE_f: -0.8 kJ/mol of atoms
- Space-group type: Pm-3n, No. 223
- Calculated volume: 36.5 Å³ per atom
- Calculated total energy: -2.942 eV/atom

***

No. 14
Entry from Alexandria: an optimized crystal structure of AcMgBi (PBE).

Cell and atoms, written as POSCAR:
```
AcMgBi
1.0
-2.0219 2.0219 6.0044
2.0219 -2.0219 6.0044
2.0219 2.0219 -6.0044
Ac Mg Bi
1 1 1
Direct
0.0000 0.0000 0.0000 Ac
0.6908 0.6908 0.0000 Mg
0.3053 0.3053 0.0000 Bi
```

## Properties
- Relative energy among the computed polymorphs: 170 meV per atom
- Crystal system: tetragonal
- ΔE_f: -32.5 kJ/mol of atoms
- Space-group type: I4mm, No. 107
- Calculated volume: 32.7 Å³ per atom
- Calculated total energy: -3.532 eV/atom

***

No. 15
Entry from Alexandria: an optimized crystal structure of Ac2MgBi (PBE).

Cell and atoms, written as POSCAR:
```
Ac2MgBi
1.0
0.0000 4.1583 4.1583
4.1583 0.0000 4.1583
4.1583 4.1583 0.0000
Ac Mg Bi
2 1 1
Direct
0.2500 0.2500 0.2500 Ac
0.7500 0.7500 0.7500 Ac
0.0000 0.0000 0.0000 Mg
0.5000 0.5000 0.5000 Bi
```

## Properties
- Relative energy among the computed polymorphs: 88 meV per atom
- Crystal system: cubic
- ΔE_f: -34.4 kJ/mol of atoms
- Space-group type: Fm-3m, No. 225
- Calculated volume: 36.0 Å³ per atom
- Calculated total energy: -3.780 eV/atom

***

No. 16
Entry from Alexandria: an optimized crystal structure of AcMg2BiO6 (PBE).

Cell and atoms, written as POSCAR:
```
AcMg2BiO6
1.0
2.8032 1.6184 4.9183
-2.8032 1.6184 4.9183
0.0000 -3.2369 4.9183
Ac Mg Bi O
1 2 1 6
Direct
0.0000 0.0000 0.0000 Ac
0.2629 0.2629 0.2629 Mg
0.7700 0.7700 0.7700 Mg
0.4697 0.4697 0.4697 Bi
0.0550 0.5986 0.4479 O
0.1657 0.5344 0.8805 O
0.4479 0.0550 0.5986 O
0.5344 0.8805 0.1657 O
0.5986 0.4479 0.0550 O
0.8805 0.1657 0.5344 O
```

## Properties
- Crystal system: trigonal
- Space-group type: R3, No. 146
- Calculated volume: 13.4 Å³ per atom
- Raw formation energy: -2.219 eV per atom
- Calculated total energy: -6.312 eV/atom

***

No. 17
Entry from Alexandria: an optimized crystal structure of AcMgBiPb (PBE).

Cell and atoms, written as POSCAR:
```
AcMgBiPb
1.0
0.0000 3.9975 3.9975
3.9975 0.0000 3.9975
3.9975 3.9975 0.0000
Ac Mg Bi Pb
1 1 1 1
Direct
0.0000 0.0000 0.0000 Ac
0.5000 0.5000 0.5000 Mg
0.7500 0.7500 0.7500 Bi
0.2500 0.2500 0.2500 Pb
```

## Properties
- Crystal system: cubic
- ΔE_f: -29.0 kJ/mol of atoms
- Space-group type: F-43m, No. 216
- Calculated volume: 31.9 Å³ per atom
- Calculated total energy: -3.623 eV/atom

***

No. 18
Entry from Alexandria: an optimized crystal structure of AcMg2BiPb (PBE).

Cell and atoms, written as POSCAR:
```
AcMg2BiPb
1.0
2.2786 -7.8746 0.0000
2.2786 7.8746 0.0000
0.0000 0.0000 9.1539
Ac Mg Bi Pb
2 4 2 2
Direct
0.0669 0.9331 0.7500 Ac
0.9331 0.0669 0.2500 Ac
0.3256 0.6744 0.5654 Mg
0.3256 0.6744 0.9346 Mg
0.6744 0.3256 0.0654 Mg
0.6744 0.3256 0.4346 Mg
0.2466 0.7534 0.2500 Bi
0.7534 0.2466 0.7500 Bi
0.5000 0.5000 0.0000 Pb
0.5000 0.5000 0.5000 Pb
```

## Properties
- Crystal system: orthorhombic
- ΔE_f: -26.6 kJ/mol of atoms
- Space-group type: Cmcm, No. 63
- Calculated volume: 32.8 Å³ per atom
- Calculated total energy: -3.253 eV/atom

***

No. 19
Entry from Alexandria: an optimized crystal structure of Ac2MgBi3Pd4 (PBE).

Cell and atoms, written as POSCAR:
```
Ac2MgBi3Pd4
1.0
4.7629 0.0000 0.0000
0.0000 4.7629 0.0000
0.0000 0.0000 11.1397
Ac Mg Bi Pd
2 1 3 4
Direct
0.0000 0.5000 0.2325 Ac
0.5000 0.0000 0.7675 Ac
0.0000 0.0000 0.5000 Mg
0.0000 0.5000 0.8679 Bi
0.5000 0.0000 0.1321 Bi
0.5000 0.5000 0.5000 Bi
0.0000 0.0000 0.0000 Pd
0.0000 0.5000 0.6246 Pd
0.5000 0.0000 0.3754 Pd
0.5000 0.5000 0.0000 Pd
```

## Properties
- Crystal system: tetragonal
- ΔE_f: -67.1 kJ/mol of atoms
- Space-group type: P-4m2, No. 115
- Calculated volume: 25.3 Å³ per atom
- Calculated total energy: -4.918 eV/atom

***

No. 20
Entry from Alexandria: an optimized crystal structure of AcMgBiPd (PBE).

Cell and atoms, written as POSCAR:
```
AcMgBiPd
1.0
0.0000 3.7944 3.7944
3.7944 0.0000 3.7944
3.7944 3.7944 0.0000
Ac Mg Bi Pd
1 1 1 1
Direct
0.0000 0.0000 0.0000 Ac
0.5000 0.5000 0.5000 Mg
0.7500 0.7500 0.7500 Bi
0.2500 0.2500 0.2500 Pd
```

## Properties
- Crystal system: cubic
- ΔE_f: -45.3 kJ/mol of atoms
- Space-group type: F-43m, No. 216
- Calculated volume: 27.3 Å³ per atom
- Calculated total energy: -4.164 eV/atom

***

No. 21
Entry from Alexandria: an optimized crystal structure of AcPmMgBi (PBE).

Cell and atoms, written as POSCAR:
```
AcPmMgBi
1.0
0.0000 4.0360 4.0360
4.0360 0.0000 4.0360
4.0360 4.0360 0.0000
Ac Pm Mg Bi
1 1 1 1
Direct
0.0000 0.0000 0.0000 Ac
0.5000 0.5000 0.5000 Pm
0.2500 0.2500 0.2500 Mg
0.7500 0.7500 0.7500 Bi
```

## Properties
- Crystal system: cubic
- ΔE_f: -32.6 kJ/mol of atoms
- Space-group type: F-43m, No. 216
- Calculated volume: 32.9 Å³ per atom
- Calculated total energy: -3.922 eV/atom

***

No. 22
Entry from Alexandria: an optimized crystal structure of AcPrMgBi (PBE).

Cell and atoms, written as POSCAR:
```
AcPrMgBi
1.0
0.0000 4.0575 4.0575
4.0575 0.0000 4.0575
4.0575 4.0575 0.0000
Ac Pr Mg Bi
1 1 1 1
Direct
0.0000 0.0000 0.0000 Ac
0.5000 0.5000 0.5000 Pr
0.7500 0.7500 0.7500 Mg
0.2500 0.2500 0.2500 Bi
```

## Properties
- Crystal system: cubic
- ΔE_f: -34.2 kJ/mol of atoms
- Space-group type: F-43m, No. 216
- Calculated volume: 33.4 Å³ per atom
- Calculated total energy: -3.945 eV/atom

***

No. 23
Entry from Alexandria: an optimized crystal structure of AcMgBiPt (PBE).

Cell and atoms, written as POSCAR:
```
AcMgBiPt
1.0
0.0000 3.7745 3.7745
3.7745 0.0000 3.7745
3.7745 3.7745 0.0000
Ac Mg Bi Pt
1 1 1 1
Direct
0.0000 0.0000 0.0000 Ac
0.5000 0.5000 0.5000 Mg
0.2500 0.2500 0.2500 Bi
0.7500 0.7500 0.7500 Pt
```

## Properties
- Crystal system: cubic
- ΔE_f: -54.0 kJ/mol of atoms
- Space-group type: F-43m, No. 216
- Calculated volume: 26.9 Å³ per atom
- Calculated total energy: -4.466 eV/atom

***

No. 24
Entry from Alexandria: an optimized crystal structure of AcMgBiRh (PBE).

Cell and atoms, written as POSCAR:
```
AcMgBiRh
1.0
0.0000 3.6735 3.6735
3.6735 0.0000 3.6735
3.6735 3.6735 0.0000
Ac Mg Bi Rh
1 1 1 1
Direct
0.0000 0.0000 0.0000 Ac
0.7500 0.7500 0.7500 Mg
0.5000 0.5000 0.5000 Bi
0.2500 0.2500 0.2500 Rh
```

## Properties
- Crystal system: cubic
- ΔE_f: -27.8 kJ/mol of atoms
- Space-group type: F-43m, No. 216
- Calculated volume: 24.8 Å³ per atom
- Calculated total energy: -4.522 eV/atom

***

No. 25
Entry from Alexandria: an optimized crystal structure of Ac2MgBi3Rh4 (PBE).

Cell and atoms, written as POSCAR:
```
Ac2MgBi3Rh4
1.0
4.6276 0.0000 0.0000
0.0000 4.6276 0.0000
0.0000 0.0000 11.1557
Ac Mg Bi Rh
2 1 3 4
Direct
0.0000 0.5000 0.2489 Ac
0.5000 0.0000 0.7511 Ac
0.0000 0.0000 0.5000 Mg
0.0000 0.5000 0.8696 Bi
0.5000 0.0000 0.1304 Bi
0.5000 0.5000 0.5000 Bi
0.0000 0.0000 0.0000 Rh
0.0000 0.5000 0.6300 Rh
0.5000 0.0000 0.3700 Rh
0.5000 0.5000 0.0000 Rh
```

## Properties
- Crystal system: tetragonal
- ΔE_f: -53.2 kJ/mol of atoms
- Space-group type: P-4m2, No. 115
- Calculated volume: 23.9 Å³ per atom
- Calculated total energy: -5.637 eV/atom

***

No. 26
Entry from Alexandria: an optimized crystal structure of AcMgBiRu (PBE).

Cell and atoms, written as POSCAR:
```
AcMgBiRu
1.0
0.0000 3.6382 3.6382
3.6382 0.0000 3.6382
3.6382 3.6382 0.0000
Ac Mg Bi Ru
1 1 1 1
Direct
0.0000 0.0000 0.0000 Ac
0.7500 0.7500 0.7500 Mg
0.5000 0.5000 0.5000 Bi
0.2500 0.2500 0.2500 Ru
```

## Properties
- Crystal system: cubic
- ΔE_f: 1.7 kJ/mol of atoms
- Space-group type: F-43m, No. 216
- Calculated volume: 24.1 Å³ per atom
- Calculated total energy: -4.698 eV/atom